No. 1
Computed, not measured: crystalline PmSmHo2Sb4 at its relaxed geometry at the GGA-PBE level of DFT.

Computed properties:
DOS at the Fermi energy: 0.14 states/eV per atom
magnetic moment: 0.0 μB per formula unit
E_tot: -44.3 eV per formula unit
uncorrected formation energy: -1.146 eV per atom

Cell: 4.429 7.661 7.666 Å, 70.51 90.00 90.00°
Fractional positions:
Pm 0.000 0.500 0.500
Sb 0.000 0.757 0.748
Sb 0.500 0.242 0.753
Sb 0.500 0.758 0.247
Sb 0.000 0.243 0.252
Sm 0.500 0.500 0.000
Ho 0.000 0.000 0.000
Ho 0.500 0.000 0.500

=====

No. 2
Computed, not measured: crystalline Na2SiGeAu6 at its relaxed geometry at the GGA-PBE level of DFT.

Computed properties:
DOS at the Fermi energy: 0.35 states/eV per atom
magnetic moment: 0.0 μB per formula unit
E_tot: -34.3 eV per formula unit
uncorrected formation energy: -0.194 eV per atom

Cell: 5.838 8.394 9.035 Å, 90.00 90.00 90.00°
Fractional positions:
Au 0.751 0.519 0.000
Au 0.251 0.001 0.000
Au 0.500 0.129 0.251
Au 0.000 0.871 0.249
Au 0.251 0.481 0.500
Au 0.000 0.871 0.751
Au 0.751 0.999 0.500
Au 0.749 0.001 0.000
Au 0.249 0.519 0.000
Au 0.249 0.999 0.500
Au 0.500 0.129 0.749
Au 0.749 0.481 0.500
Na 0.000 0.275 0.242
Na 0.000 0.275 0.758
Na 0.500 0.725 0.258
Na 0.500 0.725 0.742
Ge 0.500 0.272 0.000
Ge 0.000 0.728 0.500
Si 0.500 0.248 0.500
Si 0.000 0.752 0.000

=====

No. 3
Computed, not measured: crystalline LaPr12Ho6 at its relaxed geometry at the GGA-PBE level of DFT.

Computed properties:
DOS at the Fermi energy: 2.02 states/eV per atom
E_form: 0.183 eV per atom
magnetic moment: 0.0 μB per formula unit
E_tot: -86.3 eV per formula unit
distance to the lowest polymorph of the same formula: 0.0583 eV per atom

Cell: 8.942 8.942 8.942 Å, 99.61 99.61 99.61°
Fractional positions:
Ho 0.336 0.900 0.900
Ho 0.664 0.100 0.100
Ho 0.100 0.100 0.664
Ho 0.100 0.664 0.100
Ho 0.900 0.900 0.336
Ho 0.900 0.336 0.900
Pr 0.352 0.352 0.081
Pr 0.759 0.241 0.500
Pr 0.081 0.352 0.352
Pr 0.500 0.759 0.241
Pr 0.648 0.648 0.919
Pr 0.241 0.500 0.759
Pr 0.648 0.919 0.648
Pr 0.759 0.500 0.241
Pr 0.352 0.081 0.352
Pr 0.500 0.241 0.759
Pr 0.919 0.648 0.648
Pr 0.241 0.759 0.500
La 0.000 0.000 0.000

=====

No. 4
Computed, not measured: crystalline TlNiBr3 at its relaxed geometry at the GGA-PBE level of DFT.

Computed properties:
DOS at the Fermi energy: 0.39 states/eV per atom
magnetic moment: 0.0 μB per formula unit
E_tot: -15.4 eV per formula unit
distance to the lowest polymorph of the same formula: 0.0407 eV per atom
uncorrected formation energy: -0.453 eV per atom

Cell: 5.063 5.063 5.063 Å, 90.00 90.00 90.00°
Fractional positions:
Ni 0.000 0.000 0.000
Br 0.000 0.000 0.500
Br 0.500 0.000 0.000
Br 0.000 0.500 0.000
Tl 0.500 0.500 0.500

=====

No. 5
Computed, not measured: crystalline SrAc2Ag2 at its relaxed geometry at the GGA-PBE level of DFT.

Computed properties:
DOS at the Fermi energy: 1.04 states/eV per atom
E_form: -0.139 eV per atom
magnetic moment: 0.0 μB per formula unit
E_tot: -16.3 eV per formula unit
distance to the lowest polymorph of the same formula: 0.0542 eV per atom

Cell: 4.835 6.291 13.063 Å, 111.21 90.00 90.00°
Fractional positions:
Ag 0.250 0.351 0.979
Ag 0.250 0.853 0.637
Ag 0.750 0.649 0.021
Ag 0.750 0.147 0.363
Sr 0.250 0.805 0.215
Sr 0.750 0.195 0.785
Ac 0.750 0.221 0.120
Ac 0.250 0.288 0.544
Ac 0.750 0.712 0.456
Ac 0.250 0.779 0.880

=====

No. 6
Computed, not measured: crystalline HfNb2VN at its relaxed geometry at the GGA-PBE level of DFT.

Computed properties:
DOS at the Fermi energy: 0.95 states/eV per atom
magnetic moment: 0.0 μB per formula unit
E_tot: -50.1 eV per formula unit
uncorrected formation energy: -0.517 eV per atom

Cell: 4.479 4.479 3.835 Å, 90.00 90.00 90.00°
Fractional positions:
Nb 0.000 0.500 0.000
Nb 0.500 0.000 0.000
N 0.000 0.000 0.000
Hf 0.500 0.500 0.500
V 0.000 0.000 0.500

=====

No. 7
Computed, not measured: crystalline NbB3H at its relaxed geometry at the GGA-PBE level of DFT.

Computed properties:
DOS at the Fermi energy: 0.83 states/eV per atom
magnetic moment: 0.7 μB per formula unit
E_tot: -22.4 eV per formula unit
distance to the lowest polymorph of the same formula: 1.4632 eV per atom

Cell: 4.343 4.343 4.343 Å, 90.00 90.00 90.00°
Fractional positions:
B 0.000 0.500 0.000
B 0.500 0.000 0.000
B 0.000 0.000 0.500
H 0.500 0.500 0.500
Nb 0.000 0.000 0.000

=====

No. 8
Computed, not measured: crystalline Pm12ErRu7 at its relaxed geometry at the GGA-PBE level of DFT.

Computed properties:
DOS at the Fermi energy: 0.76 states/eV per atom
E_form: -0.142 eV per atom
magnetic moment: 0.0 μB per formula unit
E_tot: -129.3 eV per formula unit

Cell: 9.060 9.060 9.060 Å, 109.82 109.82 109.82°
Fractional positions:
Pm 0.749 0.895 0.338
Pm 0.334 0.415 0.126
Pm 0.895 0.338 0.749
Pm 0.585 0.874 0.666
Pm 0.662 0.251 0.105
Pm 0.338 0.749 0.895
Pm 0.874 0.666 0.585
Pm 0.105 0.662 0.251
Pm 0.666 0.585 0.874
Pm 0.126 0.334 0.415
Pm 0.251 0.105 0.662
Pm 0.415 0.126 0.334
Ru 0.288 0.050 0.947
Ru 0.950 0.053 0.712
Ru 0.050 0.947 0.288
Ru 0.947 0.288 0.050
Ru 0.053 0.712 0.950
Ru 0.712 0.950 0.053
Ru 0.500 0.500 0.500
Er 0.000 0.000 0.000

=====

No. 9
Computed, not measured: crystalline Th2B2C3 at its relaxed geometry at the GGA-PBE level of DFT.

Computed properties:
DOS at the Fermi energy: 0.18 states/eV per atom
E_form: 0.210 eV per atom
magnetic moment: 0.0 μB per formula unit
E_tot: -54.4 eV per formula unit
distance to the lowest polymorph of the same formula: 0.6281 eV per atom

Cell: 3.275 4.672 7.490 Å, 80.62 102.63 90.00°
Fractional positions:
Th 0.625 0.921 0.250
Th 0.375 0.079 0.750
C 0.287 0.642 0.575
C 0.000 0.000 0.000
C 0.713 0.358 0.425
B 0.204 0.455 0.408
B 0.796 0.545 0.592

=====

No. 10
Computed, not measured: crystalline KPr2Te4Au at its relaxed geometry at the GGA-PBE level of DFT.

Computed properties:
magnetic moment: 0.0 μB per formula unit
E_tot: -35.9 eV per formula unit
uncorrected formation energy: -1.174 eV per atom

Cell: 4.538 8.039 15.965 Å, 90.00 90.00 106.39°
Fractional positions:
Pr 0.633 0.266 0.429
Pr 0.367 0.734 0.571
Pr 0.367 0.734 0.929
Pr 0.633 0.266 0.071
Te 0.000 0.000 0.500
Te 0.270 0.540 0.113
Te 0.270 0.540 0.387
Te 0.547 0.094 0.250
Te 0.000 0.000 0.000
Te 0.730 0.460 0.887
Te 0.453 0.906 0.750
Te 0.730 0.460 0.613
Au 0.152 0.304 0.250
Au 0.848 0.696 0.750
K 0.876 0.751 0.250
K 0.124 0.249 0.750

=====

No. 11
Computed, not measured: crystalline ZnAgI3 at its relaxed geometry at the GGA-PBE level of DFT.

Computed properties:
DOS at the Fermi energy: 0.37 states/eV per atom
magnetic moment: 0.0 μB per formula unit
E_tot: -8.4 eV per formula unit
distance to the lowest polymorph of the same formula: 0.4718 eV per atom
uncorrected formation energy: 0.068 eV per atom

Cell: 5.620 5.620 5.620 Å, 90.00 90.00 90.00°
Fractional positions:
I 0.000 0.000 0.500
I 0.000 0.500 0.000
I 0.500 0.000 0.000
Zn 0.000 0.000 0.000
Ag 0.500 0.500 0.500

=====

No. 12
Computed, not measured: crystalline Ce2Dy3NpN6 at its relaxed geometry at the GGA-PBE level of DFT.

Computed properties:
DOS at the Fermi energy: 1.07 states/eV per atom
magnetic moment: 4.0 μB per formula unit
E_tot: -106.8 eV per formula unit
uncorrected formation energy: -1.521 eV per atom

Cell: 6.058 6.058 6.074 Å, 99.58 99.58 119.99°
Fractional positions:
N 0.404 0.083 0.248
N 0.917 0.596 0.752
N 0.083 0.404 0.248
N 0.239 0.239 0.753
N 0.596 0.917 0.752
N 0.761 0.761 0.247
Dy 0.500 0.500 0.500
Dy 0.167 0.833 0.500
Dy 0.833 0.167 0.500
Ce 0.666 0.334 0.000
Ce 0.334 0.666 0.000
Np 0.000 0.000 0.000

=====

No. 13
Computed, not measured: crystalline AlPSe at its relaxed geometry at the GGA-PBE level of DFT.

Computed properties:
DOS at the Fermi energy: 0.10 states/eV per atom
magnetic moment: 0.0 μB per formula unit
E_tot: -13.7 eV per formula unit
uncorrected formation energy: -0.363 eV per atom

Cell: 5.294 3.892 6.752 Å, 90.00 115.20 90.00°
Fractional positions:
Se 0.810 0.500 0.096
Se 0.810 0.000 0.596
P 0.327 0.000 0.435
P 0.327 0.500 0.935
Al 0.125 0.000 0.034
Al 0.125 0.500 0.534

=====

No. 14
Computed, not measured: crystalline NiMoN at its relaxed geometry at the GGA-PBE level of DFT.

Computed properties:
DOS at the Fermi energy: 0.87 states/eV per atom
magnetic moment: 0.0 μB per formula unit
E_tot: -24.4 eV per formula unit
distance to the lowest polymorph of the same formula: 0.2154 eV per atom
uncorrected formation energy: 0.175 eV per atom

Cell: 2.733 2.733 4.960 Å, 106.00 106.00 90.00°
Fractional positions:
Mo 0.655 0.655 0.311
N 0.245 0.245 0.489
Ni 0.950 0.950 0.900

=====

No. 15
Computed, not measured: crystalline Pm4Sm4Y3 at its relaxed geometry at the GGA-PBE level of DFT.

Computed properties:
DOS at the Fermi energy: 1.72 states/eV per atom
E_form: 0.037 eV per atom
magnetic moment: 0.0 μB per formula unit
E_tot: -56.9 eV per formula unit

Cell: 3.589 5.688 18.479 Å, 98.86 95.57 90.00°
Fractional positions:
Pm 0.406 0.905 0.809
Pm 0.594 0.095 0.191
Pm 0.278 0.278 0.555
Pm 0.722 0.722 0.445
Sm 0.818 0.818 0.636
Sm 0.182 0.182 0.364
Sm 0.456 0.456 0.912
Sm 0.544 0.544 0.088
Y 0.000 0.000 0.000
Y 0.130 0.630 0.261
Y 0.870 0.370 0.739

=====

No. 16
Computed, not measured: crystalline Li2MoSe at its relaxed geometry at the GGA-PBE level of DFT.

Computed properties:
DOS at the Fermi energy: 0.63 states/eV per atom
magnetic moment: 0.0 μB per formula unit
E_tot: -17.4 eV per formula unit
uncorrected formation energy: 0.177 eV per atom

Cell: 7.309 7.309 5.716 Å, 50.26 50.26 90.00°
Fractional positions:
Se 0.500 0.500 0.000
Se 0.250 0.750 0.500
Mo 0.750 0.250 0.500
Mo 0.000 0.000 0.000
Li 0.584 0.125 0.250
Li 0.875 0.834 0.750
Li 0.375 0.416 0.750
Li 0.166 0.625 0.250

=====

No. 17
Computed, not measured: crystalline Ga2AuI6 at its relaxed geometry at the GGA-PBE level of DFT.

Computed properties:
DOS at the Fermi energy: 0.32 states/eV per atom
magnetic moment: 0.0 μB per formula unit
E_tot: -21.4 eV per formula unit
distance to the lowest polymorph of the same formula: 0.0000 eV per atom
uncorrected formation energy: -0.308 eV per atom

Cell: 8.843 10.390 10.390 Å, 85.43 77.18 77.18°
Fractional positions:
I 0.707 0.612 0.068
I 0.674 0.968 0.805
I 0.046 0.634 0.638
I 0.207 0.068 0.612
I 0.793 0.932 0.388
I 0.293 0.388 0.932
I 0.546 0.638 0.634
I 0.174 0.805 0.968
I 0.326 0.032 0.195
I 0.826 0.195 0.032
I 0.954 0.366 0.362
I 0.454 0.362 0.366
Ga 0.757 0.796 0.627
Ga 0.743 0.373 0.204
Ga 0.257 0.627 0.796
Ga 0.243 0.204 0.373
Au 0.750 0.768 0.232
Au 0.250 0.232 0.768

=====

No. 18
Computed, not measured: crystalline Ca2TlCdRh at its relaxed geometry at the GGA-PBE level of DFT.

Computed properties:
DOS at the Fermi energy: 0.56 states/eV per atom
E_form: -0.203 eV per atom
magnetic moment: 0.0 μB per formula unit
E_tot: -15.7 eV per formula unit
distance to the lowest polymorph of the same formula: 0.0241 eV per atom

Cell: 5.380 5.380 5.256 Å, 90.00 90.00 90.00°
Fractional positions:
Cd 0.000 0.000 0.500
Ca 0.000 0.500 0.000
Ca 0.500 0.000 0.000
Rh 0.000 0.000 0.000
Tl 0.500 0.500 0.500

=====

No. 19
Computed, not measured: crystalline ReSi2Pb at its relaxed geometry at the GGA-PBE level of DFT.

Computed properties:
DOS at the Fermi energy: 0.60 states/eV per atom
magnetic moment: 0.0 μB per formula unit
E_tot: -23.7 eV per formula unit
uncorrected formation energy: 0.836 eV per atom

Cell: 3.337 5.381 5.375 Å, 47.18 90.00 90.00°
Fractional positions:
Re 0.000 0.000 0.500
Si 0.500 0.500 0.000
Si 0.000 0.000 0.000
Pb 0.500 0.500 0.500

=====

No. 20
Computed, not measured: crystalline Nb2GaI2 at its relaxed geometry at the GGA-PBE level of DFT.

Computed properties:
DOS at the Fermi energy: 1.00 states/eV per atom
magnetic moment: 0.8 μB per formula unit
E_tot: -18.7 eV per formula unit
uncorrected formation energy: 1.519 eV per atom

Cell: 5.454 5.454 5.078 Å, 90.00 90.00 90.00°
Fractional positions:
I 0.500 0.000 0.000
I 0.000 0.500 0.000
Ga 0.000 0.000 0.000
Nb 0.000 0.000 0.500
Nb 0.500 0.500 0.500